Model i:
DFT (GGA-PBE) results for a relaxed structure of AcInCu.

Computed properties:
calculated density	8.58	g/cm³
space group	Pnma, No. 62
magnetic moment	0.0	μB/cell

abc: 8.101 4.970 7.792
angles: 90.00 90.00 90.00
Positions (direct):
Ac  0.028  0.250  0.197
Ac  0.472  0.750  0.697
Ac  0.528  0.250  0.303
Ac  0.972  0.750  0.803
In  0.183  0.250  0.598
In  0.317  0.750  0.098
In  0.683  0.250  0.902
In  0.817  0.750  0.402
Cu  0.176  0.750  0.423
Cu  0.324  0.250  0.923
Cu  0.676  0.750  0.077
Cu  0.824  0.250  0.577

Model ii:
DFT (GGA-PBE) results for a relaxed structure of AcInCu.

Computed properties:
calculated density	8.44	g/cm³
space group	C2/m, No. 12
magnetic moment	0.0	μB/cell

abc: 6.594 6.594 5.723
angles: 95.77 95.77 40.16
Positions (direct):
Ac  0.123  0.123  0.324
Ac  0.877  0.877  0.676
In  0.406  0.406  0.182
In  0.594  0.594  0.818
Cu  0.222  0.222  0.862
Cu  0.778  0.778  0.138

Model iii:
DFT (GGA-PBE) results for a relaxed structure of AcInCu.

Computed properties:
calculated density	7.82	g/cm³
space group	F-43m, No. 216
magnetic moment	0.0	μB/cell

abc: 4.955 4.955 4.955
angles: 60.00 60.00 60.00
Positions (direct):
Ac  0.000  0.000  0.000
In  0.500  0.500  0.500
Cu  0.750  0.750  0.750

Which of them is the most stable? Correct choice: model ii.

Model i:
DFT (GGA-PBE) results for a relaxed structure of Ac2InCu3.

Computed properties:
calculated density	8.29	g/cm³
space group	Imm2, No. 44
magnetic moment	0.0	μB/cell

abc: 8.826 8.826 8.826
angles: 152.18 151.63 40.15
Positions (direct):
Ac  0.000  0.000  0.000
Ac  0.773  0.273  0.500
In  0.603  0.603  0.000
Cu  0.195  0.695  0.500
Cu  0.347  0.847  0.500
Cu  0.430  0.430  0.000

Model ii:
DFT (GGA-PBE) results for a relaxed structure of Ac2InCu3.

Computed properties:
calculated density	8.23	g/cm³
space group	Fmmm, No. 69
magnetic moment	0.0	μB/cell

abc: 9.073 8.922 6.261
angles: 70.94 68.35 40.71
Positions (direct):
Ac  0.232  0.768  0.768
Ac  0.250  0.250  0.250
Ac  0.750  0.750  0.750
Ac  0.768  0.232  0.232
In  0.337  0.337  0.663
In  0.663  0.663  0.337
Cu  0.162  0.676  0.324
Cu  0.163  0.163  0.837
Cu  0.324  0.838  0.162
Cu  0.676  0.162  0.838
Cu  0.837  0.837  0.163
Cu  0.838  0.324  0.676

Which of them is the most stable? Correct choice: model i.

Model i:
DFT (GGA-PBE) results for a relaxed structure of AcIn3Cu2.

Computed properties:
calculated density	8.33	g/cm³
space group	C2/m, No. 12
magnetic moment	0.0	μB/cell

abc: 9.179 9.179 10.883
angles: 106.39 106.39 28.44
Positions (direct):
Ac  0.000  0.000  0.000
Ac  0.157  0.157  0.701
Ac  0.843  0.843  0.299
In  0.043  0.043  0.345
In  0.216  0.216  0.384
In  0.330  0.330  0.042
In  0.373  0.373  0.801
In  0.500  0.500  0.500
In  0.627  0.627  0.199
In  0.670  0.670  0.958
In  0.784  0.784  0.616
In  0.957  0.957  0.655
Cu  0.200  0.200  0.122
Cu  0.359  0.359  0.543
Cu  0.475  0.475  0.220
Cu  0.525  0.525  0.780
Cu  0.641  0.641  0.457
Cu  0.800  0.800  0.878

Model ii:
DFT (GGA-PBE) results for a relaxed structure of AcIn3Cu2.

Computed properties:
calculated density	8.35	g/cm³
space group	Cmcm, No. 63
magnetic moment	0.0	μB/cell

abc: 7.211 7.211 5.529
angles: 90.00 90.00 75.10
Positions (direct):
Ac  0.166  0.834  0.750
Ac  0.834  0.166  0.250
In  0.024  0.599  0.250
In  0.401  0.976  0.250
In  0.437  0.563  0.250
In  0.563  0.437  0.750
In  0.599  0.024  0.750
In  0.976  0.401  0.750
Cu  0.297  0.297  0.000
Cu  0.297  0.297  0.500
Cu  0.703  0.703  0.000
Cu  0.703  0.703  0.500

Which of them is the most stable? Correct choice: model i.

Model i:
DFT (GGA-PBE) results for a relaxed structure of AcInCuPd.

Computed properties:
calculated density	9.25	g/cm³
space group	F-43m, No. 216
magnetic moment	0.0	μB/cell

abc: 5.064 5.064 5.064
angles: 60.00 60.00 60.00
Positions (direct):
Ac  0.000  0.000  0.000
In  0.500  0.500  0.500
Cu  0.750  0.750  0.750
Pd  0.250  0.250  0.250

Model ii:
DFT (GGA-PBE) results for a relaxed structure of AcInCuPd.

Computed properties:
calculated density	8.88	g/cm³
space group	Cm, No. 8
magnetic moment	0.0	μB/cell

abc: 4.659 4.659 5.757
angles: 113.79 113.79 60.00
Positions (direct):
Ac  0.000  0.000  0.000
In  0.496  0.496  0.488
Cu  0.798  0.798  0.394
Pd  0.205  0.205  0.615

Which of them is the most stable? Correct choice: model ii.

Model i:
DFT (GGA-PBE) results for a relaxed structure of AcCu4Ir.

Computed properties:
calculated density	11.49	g/cm³
space group	F-43m, No. 216
magnetic moment	0.0	μB/cell

abc: 5.163 5.163 5.163
angles: 60.00 60.00 60.00
Positions (direct):
Ac  0.000  0.000  0.000
Cu  0.132  0.623  0.623
Cu  0.623  0.132  0.623
Cu  0.623  0.623  0.132
Cu  0.623  0.623  0.623
Ir  0.250  0.250  0.250

Model ii:
DFT (GGA-PBE) results for a relaxed structure of AcCu4Ir.

Computed properties:
calculated density	10.51	g/cm³
space group	Cmcm, No. 63
magnetic moment	0.0	μB/cell

abc: 7.909 7.909 6.734
angles: 90.00 90.00 149.64
Positions (direct):
Ac  0.127  0.873  0.750
Ac  0.873  0.127  0.250
Cu  0.072  0.928  0.250
Cu  0.335  0.665  0.573
Cu  0.335  0.665  0.927
Cu  0.500  0.500  0.000
Cu  0.500  0.500  0.500
Cu  0.665  0.335  0.073
Cu  0.665  0.335  0.427
Cu  0.928  0.072  0.750
Ir  0.237  0.763  0.250
Ir  0.763  0.237  0.750

Which of them is the most stable? Correct choice: model i.

Model i:
DFT (GGA-PBE) results for a relaxed structure of AcCu2Ir.

Computed properties:
calculated density	10.34	g/cm³
space group	Cmmm, No. 65
magnetic moment	0.0	μB/cell

abc: 4.449 4.449 4.517
angles: 90.00 90.00 101.17
Positions (direct):
Ac  0.000  0.000  0.000
Cu  0.327  0.673  0.500
Cu  0.673  0.327  0.500
Ir  0.500  0.500  0.000

Model ii:
DFT (GGA-PBE) results for a relaxed structure of AcCu2Ir.

Computed properties:
calculated density	11.85	g/cm³
space group	R-3m, No. 166
magnetic moment	0.0	μB/cell

abc: 4.705 4.705 4.705
angles: 61.78 61.78 61.78
Positions (direct):
Ac  0.000  0.000  0.000
Cu  0.259  0.259  0.259
Cu  0.741  0.741  0.741
Ir  0.500  0.500  0.500

Which of them is the most stable? Correct choice: model i.

Model i:
DFT (GGA-PBE) results for a relaxed structure of AcCuIr.

Computed properties:
calculated density	11.66	g/cm³
space group	P-6m2, No. 187
magnetic moment	0.0	μB/cell

abc: 4.343 4.343 4.209
angles: 90.00 90.00 120.00
Positions (direct):
Ac  0.000  0.000  0.000
Cu  0.667  0.333  0.500
Ir  0.333  0.667  0.500

Model ii:
DFT (GGA-PBE) results for a relaxed structure of AcCuIr.

Computed properties:
calculated density	11.65	g/cm³
space group	I4mm, No. 107
magnetic moment	0.0	μB/cell

abc: 5.133 5.133 5.133
angles: 134.01 134.01 67.07
Positions (direct):
Ac  0.000  0.000  0.000
Cu  0.664  0.664  0.000
Ir  0.360  0.360  0.000

Which of them is the most stable? Correct choice: model i.

Model i:
DFT (GGA-PBE) results for a relaxed structure of Ac3CuIr.

Computed properties:
calculated density	9.10	g/cm³
space group	C2/m, No. 12
magnetic moment	0.0	μB/cell

abc: 7.910 7.910 10.275
angles: 102.91 102.91 33.15
Positions (direct):
Ac  0.036  0.036  0.290
Ac  0.331  0.331  0.386
Ac  0.358  0.358  0.009
Ac  0.642  0.642  0.991
Ac  0.669  0.669  0.614
Ac  0.964  0.964  0.710
Cu  0.315  0.315  0.696
Cu  0.685  0.685  0.304
Ir  0.169  0.169  0.806
Ir  0.831  0.831  0.194

Model ii:
DFT (GGA-PBE) results for a relaxed structure of Ac3CuIr.

Computed properties:
calculated density	9.29	g/cm³
space group	C2/m, No. 12
magnetic moment	0.0	μB/cell

abc: 7.064 7.064 9.282
angles: 107.62 107.62 50.09
Positions (direct):
Ac  0.100  0.100  0.210
Ac  0.183  0.183  0.628
Ac  0.384  0.384  0.125
Ac  0.616  0.616  0.875
Ac  0.817  0.817  0.372
Ac  0.900  0.900  0.790
Cu  0.400  0.400  0.507
Cu  0.600  0.600  0.493
Ir  0.140  0.140  0.916
Ir  0.860  0.860  0.084

Which of them is the most stable? Correct choice: model i.

Model i:
DFT (GGA-PBE) results for a relaxed structure of Ac2CuIr2.

Computed properties:
calculated density	12.71	g/cm³
space group	C2/c, No. 15
magnetic moment	0.0	μB/cell

abc: 5.861 5.861 8.267
angles: 103.16 103.16 59.29
Positions (direct):
Ac  0.002  0.293  0.149
Ac  0.293  0.002  0.649
Ac  0.707  0.998  0.351
Ac  0.998  0.707  0.851
Cu  0.374  0.626  0.250
Cu  0.626  0.374  0.750
Ir  0.227  0.508  0.486
Ir  0.492  0.773  0.014
Ir  0.508  0.227  0.986
Ir  0.773  0.492  0.514

Model ii:
DFT (GGA-PBE) results for a relaxed structure of Ac2CuIr2.

Computed properties:
calculated density	12.77	g/cm³
space group	Immm, No. 71
magnetic moment	0.0	μB/cell

abc: 5.817 5.817 5.817
angles: 135.92 118.01 79.16
Positions (direct):
Ac  0.197  0.197  0.000
Ac  0.803  0.803  0.000
Cu  0.500  0.000  0.500
Ir  0.252  0.500  0.752
Ir  0.748  0.500  0.248

Which of them is the most stable? Correct choice: model ii.

Model i:
DFT (GGA-PBE) results for a relaxed structure of AcLaCuIr.

Computed properties:
calculated density	10.35	g/cm³
space group	F-43m, No. 216
magnetic moment	0.0	μB/cell

abc: 5.205 5.205 5.205
angles: 60.00 60.00 60.00
Positions (direct):
Ac  0.000  0.000  0.000
La  0.500  0.500  0.500
Cu  0.250  0.250  0.250
Ir  0.750  0.750  0.750

Model ii:
DFT (GGA-PBE) results for a relaxed structure of AcLaCuIr.

Computed properties:
calculated density	9.96	g/cm³
space group	Amm2, No. 38
magnetic moment	0.0	μB/cell

abc: 4.454 5.995 5.995
angles: 40.34 90.00 90.00
Positions (direct):
Ac  0.000  0.000  0.000
La  0.500  0.727  0.727
Cu  0.500  0.430  0.430
Ir  0.000  0.278  0.278

Which of them is the most stable? Correct choice: model ii.

Model i:
DFT (GGA-PBE) results for a relaxed structure of AcLaCuRh.

Computed properties:
calculated density	8.53	g/cm³
space group	Amm2, No. 38
magnetic moment	0.0	μB/cell

abc: 4.492 5.977 5.977
angles: 40.21 90.00 90.00
Positions (direct):
Ac  0.000  0.000  0.000
La  0.500  0.273  0.273
Cu  0.500  0.569  0.569
Rh  0.000  0.725  0.725

Model ii:
DFT (GGA-PBE) results for a relaxed structure of AcLaCuRh.

Computed properties:
calculated density	8.82	g/cm³
space group	F-43m, No. 216
magnetic moment	0.0	μB/cell

abc: 5.214 5.214 5.214
angles: 60.00 60.00 60.00
Positions (direct):
Ac  0.000  0.000  0.000
La  0.500  0.500  0.500
Cu  0.750  0.750  0.750
Rh  0.250  0.250  0.250

Which of them is the most stable? Correct choice: model i.

Model i:
DFT (GGA-PBE) results for a relaxed structure of Li3AcCu3.

Computed properties:
calculated density	4.93	g/cm³
space group	P6_3/m, No. 176
magnetic moment	0.0	μB/cell

abc: 9.010 9.010 4.200
angles: 90.00 90.00 120.00
Positions (direct):
Li  0.053  0.770  0.250
Li  0.230  0.283  0.250
Li  0.283  0.053  0.750
Li  0.717  0.947  0.250
Li  0.770  0.717  0.750
Li  0.947  0.230  0.750
Ac  0.333  0.667  0.750
Ac  0.667  0.333  0.250
Cu  0.049  0.458  0.250
Cu  0.410  0.951  0.250
Cu  0.458  0.410  0.750
Cu  0.542  0.590  0.250
Cu  0.590  0.049  0.750
Cu  0.951  0.542  0.750

Model ii:
DFT (GGA-PBE) results for a relaxed structure of Li3AcCu3.

Computed properties:
calculated density	5.14	g/cm³
space group	Pm-3n, No. 223
magnetic moment	0.0	μB/cell

abc: 6.566 6.566 6.566
angles: 90.00 90.00 90.00
Positions (direct):
Li  0.000  0.250  0.500
Li  0.000  0.750  0.500
Li  0.250  0.500  0.000
Li  0.500  0.000  0.250
Li  0.500  0.000  0.750
Li  0.750  0.500  0.000
Ac  0.000  0.000  0.000
Ac  0.500  0.500  0.500
Cu  0.000  0.500  0.250
Cu  0.000  0.500  0.750
Cu  0.250  0.000  0.500
Cu  0.500  0.250  0.000
Cu  0.500  0.750  0.000
Cu  0.750  0.000  0.500

Which of them is the most stable? Correct choice: model i.